# 1
Compound: TaAg2Sb
Source: Alexandria via LeMat-Bulk
Functional: PBE
Structure: optimized geometry

Lattice parameters (Å, degrees): 6.7660 6.7660 6.7660 90.00 90.00 90.00
Last column: nearest neighbours and their distance in Å.
Space group F-43m (No. 216)
One atom of each set of equivalent atoms:
Ta 0.0000 0.0000 0.0000  4 Ag 2.93, 4 Sb 2.93
Ag 0.0000 0.0000 0.5000  4 Sb 2.93, 4 Ag 2.93
Ag 0.2500 0.2500 0.2500  4 Ta 2.93, 4 Ag 2.93
Sb 0.2500 0.2500 0.7500  4 Ta 2.93, 4 Ag 2.93

---

# 2
Compound: ScIn2WC
Source: Alexandria via LeMat-Bulk
Functional: PBE
Structure: optimized geometry

Lattice parameters (Å, degrees): 5.3254 5.3254 4.9413 90.00 90.00 90.00
Last column: nearest neighbours and their distance in Å.
Space group P4/mmm (No. 123)
One atom of each set of equivalent atoms:
Sc 0.0000 0.0000 0.0000  2 W 2.47
In 0.0000 0.5000 0.5000  2 W 2.66
W 0.0000 0.0000 0.5000  2 Sc 2.47, 4 In 2.66
C 0.5000 0.5000 0.0000  8 In 3.63, 4 Sc 3.77

Values from the calculation:
energy relative to the elements	1.8848	eV per atom

---

# 3
Compound: Nd4SmY4
Source: Alexandria via LeMat-Bulk
Functional: PBE
Structure: optimized geometry

Lattice parameters (Å, degrees): 10.8875 10.8875 5.1200 90.00 90.00 90.00
Last column: nearest neighbours and their distance in Å.
Space group I4/mmm (No. 139)
One atom of each set of equivalent atoms:
Nd 0.0000 0.3320 0.0000  1 Sm 3.62, 6 Y 3.62-3.64, 5 Nd 3.64-3.66
Sm 0.0000 0.0000 0.0000  4 Nd 3.62, 8 Y 3.62
Y 0.1661 0.1661 0.5000  4 Y 3.62-3.64, 6 Nd 3.62-3.64, 2 Sm 3.62

Values from the calculation:
energy relative to the elements	0.0157	eV per atom

---

# 4
Compound: HoMgRuAu
Source: Alexandria via LeMat-Bulk
Functional: PBE
Structure: optimized geometry

Lattice parameters (Å, degrees): 6.7147 6.7147 6.7147 90.00 90.00 90.00
Last column: nearest neighbours and their distance in Å.
Space group F-43m (No. 216)
One atom of each set of equivalent atoms:
Ho 0.0000 0.0000 0.0000  4 Au 2.91, 4 Ru 2.91
Mg 0.0000 0.0000 0.5000  4 Ru 2.91, 4 Au 2.91
Ru 0.2500 0.2500 0.7500  4 Ho 2.91, 4 Mg 2.91
Au 0.2500 0.2500 0.2500  4 Ho 2.91, 4 Mg 2.91

Values from the calculation:
energy relative to the elements	-0.3973	eV per atom

---

# 5
Compound: PmNiPtAu
Source: Alexandria via LeMat-Bulk
Functional: PBE
Structure: optimized geometry

Lattice parameters (Å, degrees): 6.6835 6.6835 6.6835 90.00 90.00 90.00
Last column: nearest neighbours and their distance in Å.
Space group F-43m (No. 216)
One atom of each set of equivalent atoms:
Pm 0.0000 0.0000 0.0000  4 Ni 2.89, 4 Pt 2.89
Ni 0.2500 0.2500 0.2500  4 Pm 2.89, 4 Au 2.89
Pt 0.2500 0.2500 0.7500  4 Pm 2.89, 4 Au 2.89
Au 0.0000 0.0000 0.5000  4 Ni 2.89, 4 Pt 2.89

Values from the calculation:
energy relative to the elements	-0.4457	eV per atom

---

# 6
Compound: Li5Mg2Cd12
Source: Alexandria via LeMat-Bulk
Functional: PBE
Structure: optimized geometry

Lattice parameters (Å, degrees): 19.2203 8.0779 5.3573 90.00 93.46 90.00
Last column: nearest neighbours and their distance in Å.
Space group C2/m (No. 12)
One atom of each set of equivalent atoms:
Li 0.0000 0.0000 0.0000  6 Cd 2.87-3.06
Li 0.1477 0.5000 0.4340  2 Li 2.93-3.17, 8 Cd 2.94-3.25, 2 Mg 3.25
Li 0.2238 0.5000 0.9246  7 Cd 2.85-3.19, 2 Li 2.93-3.17
Mg 0.0000 0.3146 0.5000  4 Cd 2.93-2.99, 1 Mg 3.00, 2 Li 3.25
Cd 0.0727 0.5000 0.9235  3 Li 2.90-3.07, 3 Cd 2.94-2.96, 2 Mg 2.99
Cd 0.0755 0.0000 0.5542  1 Li 2.87, 5 Cd 2.93-2.99, 2 Mg 2.93
Cd 0.1337 0.1939 0.1386  5 Cd 2.91-3.15, 3 Li 2.94-3.19
Cd 0.2074 0.1847 0.6796  4 Cd 2.81-2.98, 3 Li 2.85-3.06

Values from the calculation:
E above lowest polymorph	0.243	eV per formula unit
energy relative to the elements	-0.0867	eV per atom

---

# 7
Compound: MnPSe2
Source: Alexandria via LeMat-Bulk
Functional: PBE
Structure: optimized geometry

Lattice parameters (Å, degrees): 3.2383 3.2383 7.3130 90.00 90.00 90.00
Last column: nearest neighbours and their distance in Å.
Space group P4mm (No. 99)
One atom of each set of equivalent atoms:
Mn 0.0000 0.0000 0.0000  4 P 2.48, 5 Se 2.52-2.76
P 0.5000 0.5000 0.1289  4 Mn 2.48, 1 Se 2.48
Se 0.0000 0.0000 0.3443  1 Mn 2.52, 4 P 2.78
Se 0.5000 0.5000 0.7896  1 P 2.48, 4 Mn 2.76

---

# 8
Compound: MnIn2Pt
Source: Alexandria via LeMat-Bulk
Functional: PBE
Structure: optimized geometry

Lattice parameters (Å, degrees): 3.9049 4.2845 4.3160 90.00 90.00 90.00
Last column: nearest neighbours and their distance in Å.
Space group Pmmm (No. 47)
One atom of each set of equivalent atoms:
Mn 0.0000 0.0000 0.0000  8 In 2.90-2.91, 4 Pt 3.04
In 0.5000 0.0000 0.5000  4 Pt 2.90, 4 Mn 2.91, 4 In 3.04
In 0.5000 0.5000 0.0000  4 Mn 2.90, 4 Pt 2.91, 4 In 3.04
Pt 0.0000 0.5000 0.5000  8 In 2.90-2.91, 4 Mn 3.04

Values from the calculation:
energy relative to the elements	-0.1151	eV per atom

---

no.,DFT total energy (eV per atom),V (A^3/atom)
1,-4.996,19.359
2,-4.912,28.028
3,-5.501,33.717
4,-5.079,18.922
5,-5.408,18.660
6,-1.336,21.849
7,-5.337,19.173
8,-5.287,18.052